Here is a relaxed structure of DySc3Cu4 from Alexandria. Energies are from PBE-GGA.

Total magnetization in μB per formula unit: 0.00
DOS(E_F) in states/eV/atom: 0.664
Formation energy in eV/atom: -0.26

a = 3.307 Å, b = 3.307 Å, c = 13.248 Å
α = 90.00°, β = 90.00°, γ = 90.00°
Space group P4/mmm (No. 123)
Symmetry-distinct sites (fractional):
Dy  0.000  0.000  0.000 [1 per cell]
Sc  0.000  0.000  0.258 [2 per cell]
Sc  0.000  0.000  0.500 [1 per cell]
Cu  0.500  0.500  0.143 [2 per cell]
Cu  0.500  0.500  0.378 [2 per cell]